1.
{
  "formula": "In3GaH",
  "functional": "PBE",
  "state": "relaxed",
  "spacegroup": "Pm-3m, No. 221",
  "relative_energy_mev_per_atom": 0,
  "cell": [[4.7555, 0.0000, 0.0000], [0.0000, 4.7555, 0.0000], [0.0000, 0.0000, 4.7555]],
  "species": ["In", "In", "In", "Ga", "H"],
  "fractional_positions": [[0.0000, 0.0000, 0.5000], [0.0000, 0.5000, 0.0000], [0.5000, 0.0000, 0.0000], [0.5000, 0.5000, 0.5000], [0.0000, 0.0000, 0.0000]]
}



2.
{
  "formula": "Ba3AcBi2O9",
  "functional": "PBE",
  "state": "relaxed",
  "formation_energy_uncorrected_ev_per_atom": -2.11,
  "spacegroup": "P-3m1, No. 164",
  "cell": [[6.3098, 0.0000, 0.0000], [-3.1549, 5.4644, 0.0000], [0.0000, 0.0000, 8.0408]],
  "species": ["Ba", "Ba", "Ba", "Ac", "Bi", "Bi", "O", "O", "O", "O", "O", "O", "O", "O", "O"],
  "fractional_positions": [[0.0000, 0.0000, 0.0000], [0.3333, 0.6667, 0.7156], [0.6667, 0.3333, 0.2844], [0.0000, 0.0000, 0.5000], [0.3333, 0.6667, 0.1670], [0.6667, 0.3333, 0.8330], [0.0000, 0.5000, 0.0000], [0.1700, 0.3400, 0.3089], [0.1700, 0.8300, 0.3089], [0.3400, 0.1700, 0.6911], [0.5000, 0.0000, 0.0000], [0.5000, 0.5000, 0.0000], [0.6600, 0.8300, 0.3089], [0.8300, 0.1700, 0.6911], [0.8300, 0.6600, 0.6911]]
}



3.
{
  "formula": "YSnAu",
  "functional": "PBE",
  "state": "relaxed",
  "total_energy_ev_per_atom": -5.028,
  "spacegroup": "P4/nmm, No. 129",
  "cell": [[4.6434, 0.0000, 0.0000], [0.0000, 4.6434, 0.0000], [0.0000, 0.0000, 7.1273]],
  "species": ["Y", "Y", "Sn", "Sn", "Au", "Au"],
  "fractional_positions": [[0.2500, 0.7500, 0.0000], [0.7500, 0.2500, 0.0000], [0.2500, 0.2500, 0.3477], [0.7500, 0.7500, 0.6523], [0.2500, 0.2500, 0.7356], [0.7500, 0.7500, 0.2644]]
}



4.
{
  "formula": "Ag2AsSe",
  "functional": "PBE",
  "state": "relaxed",
  "formation_energy_uncorrected_ev_per_atom": 0.16,
  "spacegroup": "Pmm2, No. 25",
  "cell": [[2.8567, 0.0000, 0.0000], [0.0000, 4.1367, 0.0000], [0.0000, 0.0000, 6.9601]],
  "species": ["Ag", "Ag", "As", "Se"],
  "fractional_positions": [[0.0000, 0.0000, 0.0000], [0.5000, 0.5000, 0.2452], [0.0000, 0.0000, 0.4163], [0.5000, 0.5000, 0.7984]]
}



5.
{
  "formula": "Li2VN2",
  "functional": "PBE",
  "state": "relaxed",
  "formation_energy_uncorrected_ev_per_atom": -0.79,
  "spacegroup": "Cmcm, No. 63",
  "cell": [[1.5128, -4.8933, 0.0000], [1.5128, 4.8933, 0.0000], [0.0000, 0.0000, 6.5782]],
  "species": ["Li", "Li", "Li", "Li", "V", "V", "N", "N", "N", "N"],
  "fractional_positions": [[0.1433, 0.8567, 0.5684], [0.1433, 0.8567, 0.9316], [0.8567, 0.1433, 0.0684], [0.8567, 0.1433, 0.4316], [0.4100, 0.5900, 0.7500], [0.5900, 0.4100, 0.2500], [0.2063, 0.7937, 0.2500], [0.5000, 0.5000, 0.0000], [0.5000, 0.5000, 0.5000], [0.7937, 0.2063, 0.7500]]
}



6.
{
  "formula": "Al4ZnIr",
  "functional": "PBE",
  "state": "relaxed",
  "spacegroup": "Fddd, No. 70",
  "relative_energy_mev_per_atom": 0,
  "cell": [[0.0000, 4.3892, 6.7364], [3.3763, 0.0000, 6.7364], [3.3763, 4.3892, 0.0000]],
  "species": ["Al", "Al", "Al", "Al", "Al", "Al", "Al", "Al", "Zn", "Zn", "Ir", "Ir"],
  "fractional_positions": [[0.0216, 0.5219, 0.2184], [0.2184, 0.7382, 0.0216], [0.2618, 0.7816, 0.4781], [0.4781, 0.9784, 0.2618], [0.5219, 0.0216, 0.7382], [0.7382, 0.2184, 0.5219], [0.7816, 0.2618, 0.9784], [0.9784, 0.4781, 0.7816], [0.3750, 0.3750, 0.3750], [0.6250, 0.6250, 0.6250], [0.1250, 0.1250, 0.1250], [0.8750, 0.8750, 0.8750]]
}



7.
{
  "formula": "AcTc3Ge2",
  "functional": "PBE",
  "state": "relaxed",
  "total_energy_ev_per_atom": -7.747,
  "spacegroup": "C2/m, No. 12",
  "cell": [[7.9900, -2.1042, 0.0000], [7.9900, 2.1042, 0.0000], [-3.4828, 0.0000, 7.0342]],
  "species": ["Ac", "Ac", "Tc", "Tc", "Tc", "Tc", "Tc", "Tc", "Ge", "Ge", "Ge", "Ge"],
  "fractional_positions": [[0.1423, 0.1423, 0.0565], [0.8577, 0.8577, 0.9435], [0.0469, 0.0469, 0.4058], [0.2987, 0.2987, 0.5227], [0.4172, 0.4172, 0.3667], [0.5828, 0.5828, 0.6333], [0.7013, 0.7013, 0.4773], [0.9531, 0.9531, 0.5942], [0.1961, 0.1961, 0.7043], [0.4746, 0.4746, 0.8015], [0.5254, 0.5254, 0.1985], [0.8039, 0.8039, 0.2957]]
}



8.
{
  "formula": "LaPmSm3Er",
  "functional": "PBE",
  "state": "relaxed",
  "total_energy_ev_per_atom": -4.711,
  "spacegroup": "P2_1/m, No. 11",
  "cell": [[8.1127, 0.0000, 0.0000], [0.0000, 5.1527, 0.0000], [-3.2430, 0.0000, 9.7404]],
  "species": ["La", "La", "Pm", "Pm", "Sm", "Sm", "Sm", "Sm", "Sm", "Sm", "Er", "Er"],
  "fractional_positions": [[0.1664, 0.2500, 0.2901], [0.8336, 0.7500, 0.7099], [0.4996, 0.2500, 0.6275], [0.5004, 0.7500, 0.3725], [0.1683, 0.7500, 0.5443], [0.1705, 0.2500, 0.7937], [0.1707, 0.7500, 0.0405], [0.8293, 0.2500, 0.9595], [0.8295, 0.7500, 0.2063], [0.8317, 0.2500, 0.4557], [0.4971, 0.7500, 0.8774], [0.5029, 0.2500, 0.1226]]
}



9.
{
  "formula": "AgSnPbS3",
  "functional": "PBE",
  "state": "relaxed",
  "formation_energy_uncorrected_ev_per_atom": -0.27,
  "spacegroup": "P2_1/m, No. 11",
  "cell": [[8.4065, 0.0000, 0.0000], [0.0000, 3.8803, 0.0000], [-1.5588, 0.0000, 9.1242]],
  "species": ["Ag", "Ag", "Sn", "Sn", "Pb", "Pb", "S", "S", "S", "S", "S", "S"],
  "fractional_positions": [[0.1296, 0.2500, 0.0294], [0.8704, 0.7500, 0.9706], [0.3636, 0.7500, 0.3332], [0.6364, 0.2500, 0.6668], [0.2195, 0.7500, 0.7527], [0.7805, 0.2500, 0.2473], [0.0332, 0.7500, 0.2278], [0.3181, 0.2500, 0.5450], [0.4151, 0.2500, 0.1524], [0.5849, 0.7500, 0.8476], [0.6819, 0.7500, 0.4550], [0.9668, 0.2500, 0.7722]]
}



10.
{
  "formula": "Pu2BeCu3Ge4",
  "functional": "PBE",
  "state": "relaxed",
  "total_energy_ev_per_atom": -6.590,
  "spacegroup": "P-4m2, No. 115",
  "cell": [[4.1224, 0.0000, 0.0000], [0.0000, 4.1224, 0.0000], [0.0000, 0.0000, 10.0215]],
  "species": ["Pu", "Pu", "Be", "Cu", "Cu", "Cu", "Ge", "Ge", "Ge", "Ge"],
  "fractional_positions": [[0.0000, 0.5000, 0.2428], [0.5000, 0.0000, 0.7572], [0.5000, 0.5000, 0.0000], [0.0000, 0.0000, 0.0000], [0.0000, 0.5000, 0.6341], [0.5000, 0.0000, 0.3659], [0.0000, 0.0000, 0.5000], [0.0000, 0.5000, 0.8709], [0.5000, 0.0000, 0.1291], [0.5000, 0.5000, 0.5000]]
}



11.
{
  "formula": "RbGa2PdAu",
  "functional": "PBE",
  "state": "relaxed",
  "total_energy_ev_per_atom": -3.299,
  "spacegroup": "P4/mmm, No. 123",
  "cell": [[4.8521, 0.0000, 0.0000], [0.0000, 4.8521, 0.0000], [0.0000, 0.0000, 5.5001]],
  "species": ["Rb", "Ga", "Ga", "Pd", "Au"],
  "fractional_positions": [[0.0000, 0.0000, 0.0000], [0.0000, 0.5000, 0.5000], [0.5000, 0.0000, 0.5000], [0.5000, 0.5000, 0.5000], [0.5000, 0.5000, 0.0000]]
}



12.
{
  "formula": "CaCeTm2S4",
  "functional": "PBE",
  "state": "relaxed",
  "formation_energy_uncorrected_ev_per_atom": -2.00,
  "spacegroup": "P2/m, No. 10",
  "cell": [[6.8161, 0.0000, 0.0000], [0.0000, 3.9068, 0.0000], [-2.2427, 0.0000, 6.4597]],
  "species": ["Ca", "Ce", "Tm", "Tm", "S", "S", "S", "S"],
  "fractional_positions": [[0.0000, 0.0000, 0.0000], [0.0000, 0.5000, 0.5000], [0.5000, 0.0000, 0.5000], [0.5000, 0.5000, 0.0000], [0.2624, 0.5000, 0.2511], [0.2644, 0.0000, 0.7588], [0.7356, 0.0000, 0.2412], [0.7376, 0.5000, 0.7489]]
}